Li2PmCrO4: relaxed, PBE+U. Values from VASP.

Computed properties:
E, eV for the cell shown: -53.89
SG: P2/m (10)
Crystal system: monoclinic

```
&SYSTEM
  ibrav = 0, nat = 8, ntyp = 4
/
ATOMIC_SPECIES
Li 6.94 Li.upf
Pm 145.00 Pm.upf
Cr 52.00 Cr.upf
O 16.00 O.upf
ATOMIC_POSITIONS angstrom
Li 0.000 1.991 5.215
Li 1.628 0.996 2.608
Pm 1.628 2.692 -0.006
Cr 0.000 3.688 2.602
O 0.000 5.407 3.751
O 3.255 1.969 1.452
O 1.628 4.498 1.469
O 1.628 2.878 3.735
CELL_PARAMETERS angstrom
3.255 0.000 0.000
0.000 5.385 -0.012
0.000 1.991 5.215
```